VASP calculation (PBE) on a relaxed structure of CuAgS2.

Cell: 3.4396 3.8792 6.2427 Å, 90.00 90.00 90.00°
Fractional positions:
Cu (0.0000, 0.0000, 0.0000)
Ag (0.5000, 0.5000, 0.5000)
S (0.5000, 0.0000, 0.2363)
S (0.5000, 0.0000, 0.7637)

Output
- VASP energy: -3.867 eV per atom
- Total magnetization: 0.000 μB/cell
- Formation energy from raw total energies: -66 meV/atom